A relaxed structure of Mn2TeMo. Source: the Alexandria database, functional PBE-GGA.

abc: 4.0839 4.0839 16.0788
angles: 90.00 90.00 90.00
Last column: nearest neighbours and their distance in Å.
Fractional coordinates of all 16 atoms:
Mn1 0.2091 0.2500 0.1250  2 Mo 2.41, 2 Te 2.55, 2 Mn 2.66
Mn2 0.2500 0.7091 0.3750  2 Mo 2.41, 2 Te 2.55, 2 Mn 2.66
Mn3 0.2500 0.7909 0.8750  2 Mo 2.41, 2 Te 2.55, 2 Mn 2.66
Mn4 0.2909 0.2500 0.6250  2 Mo 2.41, 2 Te 2.55, 2 Mn 2.66
Mn5 0.7091 0.7500 0.6250  2 Mo 2.41, 2 Te 2.55, 2 Mn 2.66
Mn6 0.7500 0.2091 0.8750  2 Mo 2.41, 2 Te 2.55, 2 Mn 2.66
Mn7 0.7500 0.2909 0.3750  2 Mo 2.41, 2 Te 2.55, 2 Mn 2.66
Mn8 0.7909 0.7500 0.1250  2 Mo 2.41, 2 Te 2.55, 2 Mn 2.66
Te1 0.0000 0.0000 0.5000  4 Mn 2.55
Te2 0.0000 0.5000 0.7500  4 Mn 2.55
Te3 0.5000 0.0000 0.2500  4 Mn 2.55
Te4 0.5000 0.5000 0.0000  4 Mn 2.55
Mo1 0.0000 0.0000 0.0000  4 Mn 2.41
Mo2 0.0000 0.5000 0.2500  4 Mn 2.41
Mo3 0.5000 0.0000 0.7500  4 Mn 2.41
Mo4 0.5000 0.5000 0.5000  4 Mn 2.41

As for the crystal system: tetragonal. The density of states at the Fermi level is 1.320 states/eV/atom. The value obtained for the formation energy without anion corrections is 0.843 eV/atom. The value obtained for the final energy is -7.23 eV per atom. The total moment comes out at 0.00 μB per cell.

***

A relaxed structure of Ba2SrOs3O12. Source: the Alexandria database, functional PBE-GGA.

abc: 6.9941 6.9941 6.9941
angles: 63.77 63.77 63.77
Last column: nearest neighbours and their distance in Å.
Fractional coordinates of all 18 atoms:
Ba1 0.1083 0.1083 0.1083  3 O 2.63
Ba2 0.8917 0.8917 0.8917  3 O 2.63
Sr1 0.5000 0.5000 0.5000  12 O 2.67-2.96
Os1 0.0000 0.5000 0.5000  6 O 1.84-1.98
Os2 0.5000 0.0000 0.5000  6 O 1.84-1.98
Os3 0.5000 0.5000 0.0000  6 O 1.84-1.98
O1 0.0521 0.6366 0.6366  1 Os 1.84
O2 0.2213 0.2213 0.6199  2 Os 1.98
O3 0.2213 0.6199 0.2213  2 Os 1.98
O4 0.3634 0.3634 0.9479  1 Os 1.84
O5 0.3634 0.9479 0.3634  1 Os 1.84
O6 0.3801 0.7787 0.7787  2 Os 1.98
O7 0.6199 0.2213 0.2213  2 Os 1.98
O8 0.6366 0.0521 0.6366  1 Os 1.84
O9 0.6366 0.6366 0.0521  1 Os 1.84
O10 0.7787 0.3801 0.7787  2 Os 1.98
O11 0.7787 0.7787 0.3801  2 Os 1.98
O12 0.9479 0.3634 0.3634  1 Os 1.84

As for the crystal system: trigonal. The density of states at the Fermi level is 0.592 states/eV/atom. The value obtained for the formation energy without anion corrections is -1.677 eV/atom. The value obtained for the final energy is -7.16 eV per atom. The total moment comes out at 1.96 μB per cell.

***

A relaxed structure of SiAsP2. Source: the Alexandria database, functional PBE-GGA.

abc: 13.6020 3.2894 4.2713
angles: 90.00 107.93 90.00
Last column: nearest neighbours and their distance in Å.
Fractional coordinates of all 8 atoms:
Si1 0.0000 0.0000 0.0000  4 P 2.34-2.47, 1 As 2.42
Si2 0.5000 0.5000 0.0000  4 P 2.34-2.47, 1 As 2.42
As1 0.3442 0.5000 0.1622  1 Si 2.42, 2 P 2.49
As2 0.8442 0.0000 0.1622  1 Si 2.42, 2 P 2.49
P1 0.0937 0.5000 0.3612  1 P 2.22, 2 Si 2.34
P2 0.4577 0.0000 0.5459  1 P 2.22, 2 Si 2.47
P3 0.5937 0.0000 0.3612  1 P 2.22, 2 Si 2.34
P4 0.9577 0.5000 0.5459  1 P 2.22, 2 Si 2.47

As for the crystal system: monoclinic. The density of states at the Fermi level is 0.092 states/eV/atom. For the energy relative to the lowest polymorph listed for this composition, the calculation gives 64 meV per atom. The value obtained for the formation energy without anion corrections is 0.164 eV/atom. The value obtained for the final energy is -5.06 eV per atom. The total moment comes out at 0.00 μB per cell.

***

A relaxed structure of Pr3Dy2Er4. Source: the Alexandria database, functional PBE-GGA.

abc: 6.1889 6.2208 7.9964
angles: 75.19 82.78 80.37
Last column: nearest neighbours and their distance in Å.
Fractional coordinates of all 9 atoms:
Pr1 0.0000 0.0000 0.0000  6 Er 3.57-3.61, 2 Dy 3.58, 4 Pr 3.59-3.61
Pr2 0.1114 0.5576 0.7753  6 Er 3.56-3.60, 3 Dy 3.56-3.59, 3 Pr 3.59-3.62
Pr3 0.8886 0.4424 0.2247  6 Er 3.56-3.60, 3 Dy 3.56-3.59, 3 Pr 3.59-3.62
Dy1 0.3348 0.6682 0.3339  7 Er 3.55-3.60, 4 Pr 3.56-3.59, 1 Dy 3.57
Dy2 0.6652 0.3318 0.6661  7 Er 3.55-3.60, 4 Pr 3.56-3.59, 1 Dy 3.57
Er1 0.2257 0.1118 0.5529  4 Er 3.53-3.60, 4 Dy 3.55-3.60, 4 Pr 3.56-3.61
Er2 0.4464 0.2221 0.1122  4 Er 3.55-3.59, 5 Pr 3.56-3.60, 3 Dy 3.59
Er3 0.5536 0.7779 0.8878  4 Er 3.55-3.59, 5 Pr 3.56-3.60, 3 Dy 3.59
Er4 0.7743 0.8882 0.4471  4 Er 3.53-3.60, 4 Dy 3.55-3.60, 4 Pr 3.56-3.61

As for the crystal system: triclinic. The density of states at the Fermi level is 1.410 states/eV/atom. For the energy relative to the lowest polymorph listed for this composition, the calculation gives 0 meV per atom. As for the formation energy: 0.022 eV per atom. The value obtained for the final energy is -4.62 eV per atom. The total moment comes out at 0.00 μB per cell.

***

A relaxed structure of Ni2Hg2P. Source: the Alexandria database, functional PBE-GGA.

abc: 6.0070 6.0070 4.5095
angles: 90.00 90.00 90.00
Last column: nearest neighbours and their distance in Å.
Fractional coordinates of all 10 atoms:
Ni1 0.1671 0.3329 0.0000  2 P 2.24
Ni2 0.3329 0.8329 0.0000  2 P 2.24
Ni3 0.6671 0.1671 0.0000  2 P 2.24
Ni4 0.8329 0.6671 0.0000  2 P 2.24
Hg1 0.1654 0.6654 0.5000  2 Ni 2.67, 1 Hg 2.81
Hg2 0.3346 0.1654 0.5000  2 Ni 2.67, 1 Hg 2.81
Hg3 0.6654 0.8346 0.5000  2 Ni 2.67, 1 Hg 2.81
Hg4 0.8346 0.3346 0.5000  2 Ni 2.67, 1 Hg 2.81
P1 0.0000 0.0000 0.0000  4 Ni 2.24
P2 0.5000 0.5000 0.0000  4 Ni 2.24

As for the crystal system: tetragonal. The density of states at the Fermi level is 0.522 states/eV/atom. As for the formation energy: 0.100 eV per atom. The value obtained for the final energy is -3.42 eV per atom. The total moment comes out at 0.00 μB per cell.

***

A relaxed structure of Cs4SnPb3Br12. Source: the Alexandria database, functional PBE-GGA.

abc: 10.3366 10.3366 10.3366
angles: 109.47 109.47 109.47
Last column: nearest neighbours and their distance in Å.
Fractional coordinates of all 20 atoms:
Cs1 0.0000 0.0000 0.5000  12 Br 4.22
Cs2 0.0000 0.5000 0.0000  12 Br 4.22
Cs3 0.5000 0.0000 0.0000  12 Br 4.22
Cs4 0.5000 0.5000 0.5000  12 Br 4.22
Sn1 0.0000 0.0000 0.0000  6 Br 2.95
Pb1 0.0000 0.5000 0.5000  6 Br 2.98-3.02
Pb2 0.5000 0.0000 0.5000  6 Br 2.98-3.02
Pb3 0.5000 0.5000 0.0000  6 Br 2.98-3.02
Br1 0.0000 0.2473 0.2473  1 Sn 2.95, 1 Pb 3.02
Br2 0.0000 0.7527 0.7527  1 Sn 2.95, 1 Pb 3.02
Br3 0.2473 0.0000 0.2473  1 Sn 2.95, 1 Pb 3.02
Br4 0.2473 0.2473 0.0000  1 Sn 2.95, 1 Pb 3.02
Br5 0.2500 0.5000 0.7500  2 Pb 2.98
Br6 0.2500 0.7500 0.5000  2 Pb 2.98
Br7 0.5000 0.2500 0.7500  2 Pb 2.98
Br8 0.5000 0.7500 0.2500  2 Pb 2.98
Br9 0.7500 0.2500 0.5000  2 Pb 2.98
Br10 0.7500 0.5000 0.2500  2 Pb 2.98
Br11 0.7527 0.0000 0.7527  1 Sn 2.95, 1 Pb 3.02
Br12 0.7527 0.7527 0.0000  1 Sn 2.95, 1 Pb 3.02

As for the crystal system: cubic. The value obtained for the formation energy without anion corrections is -1.272 eV/atom. The value obtained for the final energy is -3.20 eV per atom. The total moment comes out at 0.00 μB per cell.

***

A relaxed structure of Zr6AlSn. Source: the Alexandria database, functional PBE-GGA.

abc: 5.1550 6.2567 10.8190
angles: 90.00 90.00 90.00
Last column: nearest neighbours and their distance in Å.
Fractional coordinates of all 16 atoms:
Zr1 0.0000 0.0000 0.0000  8 Zr 3.07-3.18, 2 Sn 3.13, 2 Al 3.13
Zr2 0.0000 0.2455 0.2459  8 Zr 3.07-3.18, 2 Sn 3.12-3.13, 2 Al 3.13
Zr3 0.0000 0.2545 0.7459  8 Zr 3.07-3.18, 2 Sn 3.12-3.13, 2 Al 3.13
Zr4 0.0000 0.5000 0.5000  8 Zr 3.07-3.18, 2 Sn 3.13, 2 Al 3.13
Zr5 0.0000 0.7455 0.7459  8 Zr 3.07-3.18, 2 Sn 3.12-3.13, 2 Al 3.13
Zr6 0.0000 0.7545 0.2459  8 Zr 3.07-3.18, 2 Sn 3.12-3.13, 2 Al 3.13
Zr7 0.5000 0.0000 0.6631  8 Zr 3.09-3.16, 2 Al 3.13, 2 Sn 3.14
Zr8 0.5000 0.2472 0.4154  8 Zr 3.09-3.16, 2 Al 3.12-3.13, 2 Sn 3.13
Zr9 0.5000 0.2528 0.9154  8 Zr 3.09-3.16, 2 Al 3.12-3.13, 2 Sn 3.13
Zr10 0.5000 0.5000 0.1631  8 Zr 3.09-3.16, 2 Al 3.13, 2 Sn 3.14
Zr11 0.5000 0.7472 0.9154  8 Zr 3.09-3.16, 2 Al 3.12-3.13, 2 Sn 3.13
Zr12 0.5000 0.7528 0.4154  8 Zr 3.09-3.16, 2 Al 3.12-3.13, 2 Sn 3.13
Al1 0.5000 0.0000 0.1642  12 Zr 3.12-3.13
Al2 0.5000 0.5000 0.6642  12 Zr 3.12-3.13
Sn1 0.0000 0.0000 0.4976  12 Zr 3.12-3.14
Sn2 0.0000 0.5000 0.9976  12 Zr 3.12-3.14

As for the crystal system: orthorhombic. The density of states at the Fermi level is 0.551 states/eV/atom. As for the formation energy: -0.319 eV per atom. The value obtained for the final energy is -7.70 eV per atom. The total moment comes out at 0.00 μB per cell.

***

A relaxed structure of V3TcSb. Source: the Alexandria database, functional PBE-GGA.

abc: 4.5742 4.5742 4.5742
angles: 90.00 90.00 90.00
Last column: nearest neighbours and their distance in Å.
Fractional coordinates of all 5 atoms:
V1 0.0000 0.0000 0.5000  2 Tc 2.29
V2 0.0000 0.5000 0.0000  2 Tc 2.29
V3 0.5000 0.0000 0.0000  2 Tc 2.29
Tc1 0.0000 0.0000 0.0000  6 V 2.29
Sb1 0.5000 0.5000 0.5000  12 V 3.23

As for the crystal system: cubic. The density of states at the Fermi level is 1.448 states/eV/atom. For the energy relative to the lowest polymorph listed for this composition, the calculation gives 0 meV per atom. The value obtained for the formation energy without anion corrections is 0.877 eV/atom. The value obtained for the final energy is -7.49 eV per atom. The total moment comes out at 1.43 μB per cell.

***

A relaxed structure of Tm2B2C3. Source: the Alexandria database, functional PBE-GGA.

abc: 10.2688 2.9933 5.1151
angles: 90.00 95.16 90.00
Last column: nearest neighbours and their distance in Å.
Fractional coordinates of all 14 atoms:
Tm1 0.1444 0.0000 0.2522  6 C 2.40-2.68, 1 B 2.61
Tm2 0.3556 0.5000 0.7478  6 C 2.40-2.68, 1 B 2.61
Tm3 0.6444 0.5000 0.2522  6 C 2.40-2.68, 1 B 2.61
Tm4 0.8556 0.0000 0.7478  6 C 2.40-2.68, 1 B 2.61
B1 0.1058 0.5000 0.8048  3 C 1.54-1.67
B2 0.3942 0.0000 0.1952  3 C 1.54-1.67
B3 0.6058 0.0000 0.8048  3 C 1.54-1.67
B4 0.8942 0.5000 0.1952  3 C 1.54-1.67
C1 0.0000 0.5000 0.0000  2 B 1.54
C2 0.1665 0.0000 0.7333  2 B 1.67
C3 0.3335 0.5000 0.2667  2 B 1.67
C4 0.5000 0.0000 0.0000  2 B 1.54
C5 0.6665 0.5000 0.7333  2 B 1.67
C6 0.8335 0.0000 0.2667  2 B 1.67

As for the crystal system: monoclinic. The density of states at the Fermi level is 0.363 states/eV/atom. As for the formation energy: -0.238 eV per atom. The value obtained for the final energy is -7.38 eV per atom. The total moment comes out at 0.01 μB per cell.

***

A relaxed structure of SnIrS. Source: the Alexandria database, functional PBE-GGA.

abc: 3.0775 4.0842 5.7495
angles: 69.71 75.01 68.08
Last column: nearest neighbours and their distance in Å.
Fractional coordinates of all 3 atoms:
Sn1 0.0000 0.0000 0.0000  3 Ir 2.91-2.97, 2 Sn 3.08, 2 S 3.15
Ir1 0.8172 0.7210 0.6357  3 S 2.30-2.36
S1 0.5568 0.3703 0.4979  3 Ir 2.30-2.36

As for the crystal system: triclinic. The density of states at the Fermi level is 0.457 states/eV/atom. The value obtained for the formation energy without anion corrections is 0.007 eV/atom. The value obtained for the final energy is -5.66 eV per atom. The total moment comes out at 0.00 μB per cell.

***

A relaxed structure of Pm2AlBiO6. Source: the Alexandria database, functional PBE-GGA.

abc: 5.3743 5.3743 5.2804
angles: 90.00 90.00 90.00
Last column: nearest neighbours and their distance in Å.
Fractional coordinates of all 10 atoms:
Pm1 0.0000 0.5000 0.0000  4 O 2.34
Pm2 0.5000 0.0000 0.0000  4 O 2.34
Al1 0.0000 0.0000 0.6076  5 O 1.80-1.89
Bi1 0.5000 0.5000 0.5591  5 O 2.27-2.31
O1 0.0000 0.0000 0.2663  1 Al 1.80
O2 0.2303 0.2303 0.7430  1 Al 1.89
O3 0.2303 0.7697 0.7430  1 Al 1.89
O4 0.5000 0.5000 0.1215  1 Bi 2.31
O5 0.7697 0.2303 0.7430  1 Al 1.89
O6 0.7697 0.7697 0.7430  1 Al 1.89

As for the crystal system: tetragonal. The density of states at the Fermi level is 0.000 states/eV/atom. The value obtained for the formation energy without anion corrections is -2.553 eV/atom. The value obtained for the final energy is -7.24 eV per atom. The total moment comes out at 0.00 μB per cell.

***

A relaxed structure of Pm4PrHg7. Source: the Alexandria database, functional PBE-GGA.

abc: 7.0604 7.0604 11.3900
angles: 120.32 120.32 47.59
Last column: nearest neighbours and their distance in Å.
Fractional coordinates of all 12 atoms:
Pm1 0.0820 0.0820 0.2769  8 Hg 3.05-3.31
Pm2 0.2428 0.2428 0.8304  6 Hg 3.15-3.31
Pm3 0.7572 0.7572 0.1696  6 Hg 3.15-3.31
Pm4 0.9180 0.9180 0.7231  8 Hg 3.05-3.31
Pr1 0.5000 0.5000 0.5000  2 Hg 2.85
Hg1 0.0000 0.0000 0.5000  2 Pr 2.85
Hg2 0.1389 0.1389 0.0388  5 Pm 3.12-3.31, 4 Hg 3.15-3.49
Hg3 0.2917 0.2917 0.5886  4 Pm 3.05-3.22, 4 Hg 3.13-3.32, 1 Pr 3.36
Hg4 0.4267 0.4267 0.1680  4 Hg 3.13-3.49, 3 Pm 3.22-3.31, 1 Pr 3.35
Hg5 0.5733 0.5733 0.8320  4 Hg 3.13-3.49, 3 Pm 3.22-3.31, 1 Pr 3.35
Hg6 0.7083 0.7083 0.4114  4 Pm 3.05-3.22, 4 Hg 3.13-3.32, 1 Pr 3.36
Hg7 0.8611 0.8611 0.9612  5 Pm 3.12-3.31, 4 Hg 3.15-3.49

As for the crystal system: monoclinic. The density of states at the Fermi level is 0.711 states/eV/atom. As for the formation energy: -0.328 eV per atom. The value obtained for the final energy is -2.49 eV per atom. The total moment comes out at 0.00 μB per cell.